This record from the Alexandria database describes CeSmErSc after structural relaxation. The functional is GGA-PBE.

a b c (Å): 5.5369 5.5369 5.5369
angles (deg): 60.00 60.00 60.00
Last column: nearest neighbours and their distance in Å.
Fractional positions:
Sm1 0.7500 0.7500 0.7500  4 Er 3.39, 4 Sc 3.39
Sc1 0.0000 0.0000 0.0000  4 Sm 3.39, 4 Ce 3.39
Ce1 0.2500 0.2500 0.2500  4 Sc 3.39, 4 Er 3.39
Er1 0.5000 0.5000 0.5000  4 Ce 3.39, 4 Sm 3.39

Values from the calculation:
Raw total energy = -0.38592 Ry per atom
ΔH_f (0 K) = 0.136 eV/atom
N(E_F) = 2.027 states/eV per atom
Magnetic moment = 0.54 μB/f.u.
Symmetry = F-43m